No. 1
This record from the Alexandria database describes a relaxed structure of LiCeGdSc. The functional is PBE-GGA.

The structure belongs to space group F-43m (No. 216); the cell edges are 7.572, 7.572 and 7.572 Å and the angles 90.00°, 90.00° and 90.00°. The asymmetric unit holds Li at (0.000, 0.000, 0.000), Ce at (0.250, 0.250, 0.750), Gd at (0.250, 0.250, 0.250) and Sc at (0.000, 0.000, 0.500).

For the formation energy, the calculation gives 0.22 eV/atom.

No. 2
This record from the Alexandria database describes a relaxed structure of HgGeTe2C. The functional is PBE-GGA.

The structure belongs to space group P4/mmm (No. 123); the cell edges are 4.933, 4.933 and 4.605 Å and the angles 90.00°, 90.00° and 90.00°. The asymmetric unit holds Hg at (0.000, 0.000, 0.000), Ge at (0.500, 0.500, 0.000), Te at (0.000, 0.500, 0.500) and C at (0.000, 0.000, 0.500).

The formation energy from raw total energies comes out at 22.94 kcal/mol of atoms.